Computed, not measured: Sc5In2AgIr2 after structural relaxation at the PBE level of DFT.

Structure (POSCAR):
```
Sc5In2AgIr2
1.0
3.451 0.000 0.000
0.000 11.117 0.000
0.000 0.000 11.117
Sc Ir In Ag
10 4 4 2
Direct
0.500 0.299 0.575 Sc
0.500 0.201 0.075 Sc
0.500 0.701 0.425 Sc
0.500 0.500 0.000 Sc
0.500 0.000 0.500 Sc
0.500 0.575 0.701 Sc
0.500 0.425 0.299 Sc
0.500 0.925 0.201 Sc
0.500 0.075 0.799 Sc
0.500 0.799 0.925 Sc
0.000 0.634 0.866 Ir
0.000 0.866 0.366 Ir
0.000 0.366 0.134 Ir
0.000 0.134 0.634 Ir
0.000 0.171 0.329 In
0.000 0.829 0.671 In
0.000 0.671 0.171 In
0.000 0.329 0.829 In
0.000 0.500 0.500 Ag
0.000 0.000 0.000 Ag
```

Values from the calculation:
**Energy of formation**: -5.66 eV/f.u.


Computed, not measured: SrScOs2 after structural relaxation at the PBE level of DFT.

Structure (POSCAR):
```
SrScOs2
1.0
-2.614 2.482 2.521
-1.985 -2.187 0.095
2.037 -3.237 5.300
Os Sc Sr
2 1 1
Direct
0.000 0.035 0.076 Os
0.000 0.465 0.424 Os
0.500 0.250 0.250 Sc
0.500 0.750 0.750 Sr
```

Values from the calculation:
**Energy of formation**: 1.60 eV/f.u.


Computed, not measured: Cd3Ag3Au5 after structural relaxation at the PBE level of DFT.

Structure (POSCAR):
```
Cd3Ag3Au5
1.0
-2.379 -1.326 0.856
4.052 -8.505 -1.907
0.950 3.928 8.721
Ag Au Cd
3 5 3
Direct
0.500 0.000 0.832 Ag
0.500 0.168 0.168 Ag
0.500 0.832 0.000 Ag
0.500 0.669 0.669 Au
0.500 0.667 0.333 Au
0.500 0.331 0.000 Au
0.500 0.333 0.667 Au
0.500 0.000 0.331 Au
0.000 0.581 0.000 Cd
0.000 0.419 0.419 Cd
0.000 0.000 0.581 Cd
```

Values from the calculation:
**Relative energy among the computed polymorphs**: 0 meV per atom
**Energy of formation**: 0.97 eV/f.u.


Computed, not measured: Pu2Cd2O7 after structural relaxation at the PBE level of DFT.

Structure (POSCAR):
```
Pu2Cd2O7
1.0
-3.703 -2.449 6.353
-0.904 -7.592 1.275
3.952 -3.471 5.693
O Pu Cd
14 4 4
Direct
0.500 0.500 0.500 O
0.798 0.202 0.202 O
0.202 0.798 0.798 O
0.452 0.048 0.452 O
0.798 0.202 0.798 O
0.452 0.048 0.048 O
0.452 0.452 0.048 O
0.202 0.202 0.798 O
0.798 0.798 0.202 O
0.202 0.798 0.202 O
0.750 0.750 0.750 O
0.048 0.452 0.048 O
0.048 0.048 0.452 O
0.048 0.452 0.452 O
0.125 0.625 0.125 Pu
0.625 0.125 0.125 Pu
0.125 0.125 0.125 Pu
0.125 0.125 0.625 Pu
0.625 0.625 0.625 Cd
0.625 0.625 0.125 Cd
0.625 0.125 0.625 Cd
0.125 0.625 0.625 Cd
```

Values from the calculation:
**Energy relative to the elements, uncorrected**: -2.079 eV per atom